Material: TaZnTe2I
Method: DFT, PBE
State: optimized geometry

Output
Theoretical density = 6.24 Mg/m³
Excess energy over the best structure of this formula in the dataset = 0.0 kJ per mole of atoms
SG = P4/mmm
Energy = -3.962 eV per atom
Formation energy (no corrections) = 0.23 eV per atom

Cell lengths 5.399, 5.399, 5.735 Å; angles 90.00, 90.00, 90.00 degrees
Positions (direct):
I 0.000 0.000 0.500
Zn 0.500 0.500 0.500
Te 0.000 0.500 0.000
Te 0.500 0.000 0.000
Ta 0.000 0.000 0.000